1 | This record from Alexandria describes a relaxed structure of KPt2Pb2. The functional is PBE-GGA.

spin magnetization = 0.00 μB per atom

a = 8.693 Å, b = 8.693 Å, c = 3.183 Å
α = 90.00°, β = 90.00°, γ = 90.00°
Element x y z (fractional)
K: 0.000 0.000 0.000
K: 0.500 0.500 0.000
Pt: 0.160 0.340 0.500
Pt: 0.340 0.840 0.500
Pt: 0.660 0.160 0.500
Pt: 0.840 0.660 0.500
Pb: 0.136 0.636 0.000
Pb: 0.364 0.136 0.000
Pb: 0.636 0.864 0.000
Pb: 0.864 0.364 0.000


2 | This record from Alexandria describes a relaxed structure of KPt2Pb2. The functional is PBE-GGA.

spin magnetization = 0.00 μB per atom

a = 6.411 Å, b = 6.411 Å, c = 5.289 Å
α = 105.78°, β = 105.78°, γ = 41.62°
Element x y z (fractional)
K: 0.000 0.000 0.000
Pt: 0.251 0.251 0.849
Pt: 0.749 0.749 0.151
Pb: 0.351 0.351 0.424
Pb: 0.649 0.649 0.576


In terms of stability, 2 leads; the second structure lies 182 meV per atom higher.